1.
DFT (PBE) results for a relaxed structure of NdY6Er2Tm3.

Cell and atoms, written as CIF:
```
data_NdY6Er2Tm3
_chemical_formula_sum 'Nd2 Y12 Er4 Tm6'
_symmetry_space_group_name_H-M 'C 1 2/m 1'
_symmetry_Int_Tables_number 12
_symmetry_space_group_name_Hall '-C 2y'
_cell_length_a 6.149
_cell_length_b 10.637
_cell_length_c 11.770
_cell_angle_alpha 90.00
_cell_angle_beta 99.99
_cell_angle_gamma 90.00
loop_
_atom_site_label
_atom_site_fract_x
_atom_site_fract_y
_atom_site_fract_z
_atom_site_occupancy
Nd1 0.000 0.000 0.000 1
Y1 0.248 0.333 0.748 1
Y2 0.250 0.000 0.748 1
Er1 0.000 0.333 0.000 1
Tm1 0.000 0.167 0.500 1
Tm2 0.000 0.500 0.500 1
```

Total energy in Ry per atom: -0.403
Formation energy from the elements in eV per atom: 0.03
Calculated volume in Å³/atom: 31.588

=====

2.
DFT (PBE) results for a relaxed structure of NdYEr3Tm.

Cell and atoms, written as CIF:
```
data_NdYEr3Tm
_chemical_formula_sum 'Nd2 Y2 Er6 Tm2'
_symmetry_space_group_name_H-M 'P -1'
_symmetry_Int_Tables_number 2
_symmetry_space_group_name_Hall '-P 1'
_cell_length_a 5.722
_cell_length_b 7.322
_cell_length_c 9.632
_cell_angle_alpha 89.74
_cell_angle_beta 72.76
_cell_angle_gamma 90.00
loop_
_atom_site_label
_atom_site_fract_x
_atom_site_fract_y
_atom_site_fract_z
_atom_site_occupancy
Nd1 0.038 0.252 0.424 1
Y1 0.351 0.963 0.797 1
Er1 0.172 0.745 0.156 1
Er2 0.216 0.252 0.070 1
Er3 0.477 0.255 0.546 1
Tm1 0.350 0.541 0.798 1
```

Total energy in Ry per atom: -0.346
Formation energy from the elements in eV per atom: 0.20
Calculated volume in Å³/atom: 32.117